MnOs2W: relaxed, PBE.

As for the excess energy over the best structure of this formula in the dataset: 1.18 eV per formula unit. The calculation puts the density of states at the Fermi level at 1.2521 states/eV/atom. As for the raw total energy: -10.8185 eV per atom. The space group is Cmmm. The total moment is 3.0 μB per formula unit.

a b c (Å): 2.712 2.712 8.650
angles (deg): 90.00 90.00 112.47
Sites, in units of the cell vectors:
Mn  0.000  0.000  0.000
Os  0.500  0.500  0.242
Os  0.500  0.500  0.758
W  0.000  0.000  0.500

MnOs2W: relaxed, PBE.

As for the excess energy over the best structure of this formula in the dataset: 0.25 eV per formula unit. The calculation puts the density of states at the Fermi level at 0.9868 states/eV/atom. As for the raw total energy: -11.0511 eV per atom. The space group is Pmmm. The total moment is 1.3 μB per formula unit.

a b c (Å): 2.744 3.773 5.490
angles (deg): 90.00 90.00 90.00
Sites, in units of the cell vectors:
Mn  0.000  0.000  0.000
Os  0.500  0.500  0.234
Os  0.500  0.500  0.766
W  0.000  0.000  0.500

MnOs2W: relaxed, PBE.

As for the excess energy over the best structure of this formula in the dataset: 0.12 eV per formula unit. The calculation puts the density of states at the Fermi level at 0.9495 states/eV/atom. As for the raw total energy: -11.0832 eV per atom. The space group is I4/mmm. The total moment is 1.5 μB per formula unit.

a b c (Å): 4.676 4.676 4.676
angles (deg): 131.11 131.11 71.63
Sites, in units of the cell vectors:
Mn  0.000  0.000  0.000
Os  0.250  0.750  0.500
Os  0.750  0.250  0.500
W  0.500  0.500  0.000

MnOs2W: relaxed, PBE.

As for the excess energy over the best structure of this formula in the dataset: 0.33 eV per formula unit. The calculation puts the density of states at the Fermi level at 0.9917 states/eV/atom. As for the raw total energy: -11.0325 eV per atom. The space group is C2/m. The total moment is 1.2 μB per formula unit.

a b c (Å): 4.641 4.641 4.752
angles (deg): 99.72 99.72 34.32
Sites, in units of the cell vectors:
Mn  0.000  0.000  0.000
Os  0.255  0.255  0.768
Os  0.745  0.745  0.232
W  0.500  0.500  0.500

MnOsW4: relaxed, PBE.

The calculation puts the density of states at the Fermi level at 0.8570 states/eV/atom. As for the raw total energy: -11.4648 eV per atom. The space group is F-43m. The total moment is 2.8 μB per formula unit.

a b c (Å): 5.195 5.195 5.195
angles (deg): 60.00 60.00 60.00
Sites, in units of the cell vectors:
Mn  0.000  0.000  0.000
Os  0.750  0.750  0.750
W  0.374  0.374  0.374
W  0.374  0.374  0.878
W  0.374  0.878  0.374
W  0.878  0.374  0.374

MnOs2W: relaxed, PBE.

As for the excess energy over the best structure of this formula in the dataset: 0.32 eV per formula unit. The calculation puts the density of states at the Fermi level at 0.9271 states/eV/atom. As for the raw total energy: -11.0343 eV per atom. The space group is Pmm2. The total moment is 1.3 μB per formula unit.

a b c (Å): 2.737 3.799 5.453
angles (deg): 90.00 90.00 90.00
Sites, in units of the cell vectors:
Mn  0.000  0.000  0.000
Os  0.000  0.000  0.484
Os  0.500  0.500  0.228
W  0.500  0.500  0.746

MnOsW3: relaxed, PBE.

As for the excess energy over the best structure of this formula in the dataset: 0.00 eV per formula unit. The calculation puts the density of states at the Fermi level at 1.0969 states/eV/atom. As for the raw total energy: -10.3676 eV per atom. The space group is Pm-3m. The total moment is 0.0 μB per formula unit.

a b c (Å): 4.400 4.400 4.400
angles (deg): 90.00 90.00 90.00
Sites, in units of the cell vectors:
Mn  0.000  0.000  0.000
Os  0.500  0.500  0.500
W  0.000  0.000  0.500
W  0.000  0.500  0.000
W  0.500  0.000  0.000

MnOs2W: relaxed, PBE.

As for the excess energy over the best structure of this formula in the dataset: 0.32 eV per formula unit. The calculation puts the density of states at the Fermi level at 0.6602 states/eV/atom. As for the raw total energy: -11.0350 eV per atom. The space group is Fm-3m. The total moment is 4.4 μB per formula unit.

a b c (Å): 4.367 4.367 4.367
angles (deg): 60.00 60.00 60.00
Sites, in units of the cell vectors:
Mn  0.000  0.000  0.000
Os  0.250  0.250  0.250
Os  0.750  0.750  0.750
W  0.500  0.500  0.500

Mn2Os2W: relaxed, PBE.

As for the excess energy over the best structure of this formula in the dataset: 0.37 eV per formula unit. The calculation puts the density of states at the Fermi level at 0.8439 states/eV/atom. As for the raw total energy: -10.5410 eV per atom. The space group is P4/mbm. The total moment is 0.3 μB per formula unit.

a b c (Å): 7.163 7.163 2.678
angles (deg): 90.00 90.00 90.00
Sites, in units of the cell vectors:
Mn  0.168  0.332  0.000
Mn  0.332  0.832  0.000
Mn  0.668  0.168  0.000
Mn  0.832  0.668  0.000
Os  0.128  0.628  0.500
Os  0.372  0.128  0.500
Os  0.628  0.872  0.500
Os  0.872  0.372  0.500
W  0.000  0.000  0.500
W  0.500  0.500  0.500

MnOs2W: relaxed, PBE.

As for the excess energy over the best structure of this formula in the dataset: 0.13 eV per formula unit. The calculation puts the density of states at the Fermi level at 0.9854 states/eV/atom. As for the raw total energy: -11.0809 eV per atom. The space group is I-4m2. The total moment is 1.5 μB per formula unit.

a b c (Å): 4.723 4.723 4.723
angles (deg): 132.12 132.12 70.05
Sites, in units of the cell vectors:
Mn  0.000  0.000  0.000
Os  0.250  0.750  0.500
Os  0.500  0.500  0.000
W  0.750  0.250  0.500

MnOs2W: relaxed, PBE.

As for the excess energy over the best structure of this formula in the dataset: 1.22 eV per formula unit. The calculation puts the density of states at the Fermi level at 0.9796 states/eV/atom. As for the raw total energy: -10.8090 eV per atom. The space group is F-43m. The total moment is 3.0 μB per formula unit.

a b c (Å): 4.346 4.346 4.346
angles (deg): 60.00 60.00 60.00
Sites, in units of the cell vectors:
Mn  0.000  0.000  0.000
Os  0.250  0.250  0.250
Os  0.500  0.500  0.500
W  0.750  0.750  0.750

MnOs2W: relaxed, PBE.

As for the excess energy over the best structure of this formula in the dataset: 0.88 eV per formula unit. The calculation puts the density of states at the Fermi level at 1.0224 states/eV/atom. As for the raw total energy: -10.8945 eV per atom. The space group is Immm. The total moment is 1.9 μB per formula unit.

a b c (Å): 5.271 5.271 5.271
angles (deg): 148.91 130.23 59.85
Sites, in units of the cell vectors:
Mn  0.000  0.000  0.000
Os  0.224  0.724  0.500
Os  0.776  0.276  0.500
W  0.500  0.500  0.000

Q: What is the total moment in the eleventh record?
A: 3.0 μB per formula unit